No. 1
Below is crystalline LaDyPa at its relaxed geometry, with properties calculated at the PBE level.

Summary:
Fermi-level density of states	4.68	states/eV/f.u.
E above lowest polymorph	0.03	eV per formula unit
E_form	15.01	kJ/mol of atoms

Cell and atoms, written as POSCAR:
```
LaDyPa
1.0
3.4084 0.0000 0.0000
0.0000 3.4084 0.0000
-1.7042 -1.7042 7.8267
Pa Dy La
1 1 1
direct
0.3321 0.3321 0.6642
0.6815 0.6815 0.3630
0.9864 0.9864 0.9729
```



No. 2
Below is crystalline LaDyPa at its relaxed geometry, with properties calculated at the PBE level.

Summary:
Fermi-level density of states	4.91	states/eV/f.u.
E above lowest polymorph	0.00	eV per formula unit
E_form	14.16	kJ/mol of atoms

Cell and atoms, written as POSCAR:
```
LaDyPa
1.0
3.4528 0.0000 0.0000
-1.7264 2.9902 0.0000
0.0000 0.0000 8.7297
Pa La Dy
1 1 1
direct
0.0000 0.0000 0.0028
0.3333 0.6667 0.6835
0.6667 0.3333 0.3137
```



No. 3
Below is crystalline LaDyPa at its relaxed geometry, with properties calculated at the PBE level.

Summary:
Fermi-level density of states	6.75	states/eV/f.u.
E above lowest polymorph	0.33	eV per formula unit
E_form	24.80	kJ/mol of atoms

Cell and atoms, written as POSCAR:
```
LaDyPa
1.0
5.6220 0.0000 0.0000
2.8110 5.8116 -1.2505
2.8110 -0.8889 5.8778
La Dy Pa
2 2 2
direct
0.0000 0.8382 0.1618
0.0000 0.1618 0.8382
0.5000 0.6668 0.3332
0.5000 0.3332 0.6668
0.8026 0.6974 0.6974
0.1974 0.3026 0.3026
```



No. 4
Below is crystalline LaDyPa4 at its relaxed geometry, with properties calculated at the PBE level.

Summary:
Fermi-level density of states	15.18	states/eV/f.u.
E_form	21.25	kJ/mol of atoms

Cell and atoms, written as POSCAR:
```
LaDyPa4
1.0
-3.0545 -2.1416 -4.9146
2.2308 -4.8026 -3.1669
-2.8449 -5.4681 0.2777
Pa La Dy
4 1 1
direct
0.6255 0.6254 0.1236
0.6255 0.1236 0.6254
0.6255 0.6254 0.6254
0.1237 0.6254 0.6254
0.2500 0.2500 0.2500
0.0000 0.0000 0.0000
```



No. 5
Below is crystalline La2DyPa at its relaxed geometry, with properties calculated at the PBE level.

Summary:
Fermi-level density of states	7.47	states/eV/f.u.
E above lowest polymorph	0.45	eV per formula unit
E_form	25.22	kJ/mol of atoms

Cell and atoms, written as POSCAR:
```
La2DyPa
1.0
4.9723 0.0000 0.0000
0.0000 5.0178 0.0000
0.0000 0.0000 5.0178
Pa La Dy
1 2 1
direct
0.5000 0.5000 0.5000
0.0000 0.0000 0.5000
0.0000 0.5000 0.0000
0.5000 0.0000 0.0000
```



No. 6
Below is crystalline La2DyPa at its relaxed geometry, with properties calculated at the PBE level.

Summary:
Fermi-level density of states	6.48	states/eV/f.u.
E above lowest polymorph	0.00	eV per formula unit
E_form	14.39	kJ/mol of atoms

Cell and atoms, written as POSCAR:
```
La2DyPa
1.0
-1.4749 -1.2550 2.8778
3.1206 -0.2369 1.4960
-1.0376 9.7078 3.7018
Pa La Dy
1 2 1
direct
0.5000 0.5000 0.0000
0.0000 0.0000 0.7714
0.0000 0.0000 0.2286
0.5000 0.5000 0.5000
```



No. 7
Below is crystalline La2DyPa2Rh5 at its relaxed geometry, with properties calculated at the PBE level.

Summary:
Fermi-level density of states	10.49	states/eV/f.u.
E_form	-63.46	kJ/mol of atoms

Cell and atoms, written as POSCAR:
```
La2DyPa2Rh5
1.0
3.5905 0.0000 0.0000
0.0000 11.0979 0.0000
0.0000 0.0000 11.0979
La Dy Pa Rh
4 2 4 10
direct
0.0000 0.6697 0.1697
0.0000 0.3303 0.8303
0.0000 0.1697 0.3303
0.0000 0.8303 0.6697
0.0000 0.0000 0.0000
0.0000 0.5000 0.5000
0.0000 0.1400 0.6400
0.0000 0.8600 0.3600
0.0000 0.6400 0.8600
0.0000 0.3600 0.1400
0.5000 0.2002 0.0578
0.5000 0.7998 0.9422
0.5000 0.0578 0.7998
0.5000 0.7002 0.4422
0.5000 0.9422 0.2002
0.5000 0.2998 0.5578
0.5000 0.5578 0.7002
0.5000 0.4422 0.2998
0.5000 0.5000 0.0000
0.5000 0.0000 0.5000
```



No. 8
Below is crystalline La2DyPa2Ru5 at its relaxed geometry, with properties calculated at the PBE level.

Summary:
Fermi-level density of states	9.81	states/eV/f.u.
E_form	-26.56	kJ/mol of atoms

Cell and atoms, written as POSCAR:
```
La2DyPa2Ru5
1.0
3.4576 0.0000 0.0000
0.0000 11.2202 0.0000
0.0000 0.0000 11.2202
La Dy Pa Ru
4 2 4 10
direct
0.0000 0.6671 0.1671
0.0000 0.3329 0.8329
0.0000 0.1671 0.3329
0.0000 0.8329 0.6671
0.0000 0.0000 0.0000
0.0000 0.5000 0.5000
0.0000 0.1455 0.6455
0.0000 0.8545 0.3545
0.0000 0.6455 0.8545
0.0000 0.3545 0.1455
0.5000 0.2156 0.0442
0.5000 0.7844 0.9558
0.5000 0.0442 0.7844
0.5000 0.7156 0.4558
0.5000 0.9558 0.2156
0.5000 0.2844 0.5442
0.5000 0.5442 0.7156
0.5000 0.4558 0.2844
0.5000 0.5000 0.0000
0.5000 0.0000 0.5000
```



No. 9
Below is crystalline La2DyPaSb4 at its relaxed geometry, with properties calculated at the PBE level.

Summary:
Fermi-level density of states	6.80	states/eV/f.u.
calculated total energy	-6.09	eV/atom

Cell and atoms, written as POSCAR:
```
La2DyPaSb4
1.0
-2.0303 -3.9974 -0.1863
6.7686 -3.3555 -1.7659
-0.8908 0.0903 7.7701
La Dy Pa Sb
2 1 1 4
direct
0.5000 0.0000 0.5000
0.0000 0.5000 0.5000
0.0000 0.0000 0.0000
0.5000 0.5000 0.0000
0.5000 0.2469 0.2345
0.5000 0.7531 0.7655
0.0000 0.2558 0.7654
0.0000 0.7442 0.2346
```



No. 10
Below is crystalline La2DyPb at its relaxed geometry, with properties calculated at the PBE level.

Summary:
Fermi-level density of states	5.26	states/eV/f.u.
E above lowest polymorph	0.06	eV per formula unit
E_form	-31.61	kJ/mol of atoms

Cell and atoms, written as POSCAR:
```
La2DyPb
1.0
-2.0888 -3.5713 5.5192
-5.0386 -4.8676 -0.7464
2.9219 -6.2645 1.3625
La Dy Pb
4 2 2
direct
0.2010 0.2990 0.7990
0.2990 0.7010 0.2010
0.7990 0.7010 0.2010
0.7010 0.2990 0.7990
0.7500 0.1834 0.3166
0.2500 0.8166 0.6834
0.2500 0.2016 0.2984
0.7500 0.7984 0.7016
```



No. 11
Below is crystalline La2DyPb at its relaxed geometry, with properties calculated at the PBE level.

Summary:
Fermi-level density of states	4.18	states/eV/f.u.
E above lowest polymorph	0.25	eV per formula unit
E_form	-27.20	kJ/mol of atoms

Cell and atoms, written as POSCAR:
```
La2DyPb
1.0
-0.7317 3.7666 2.1444
-2.5161 -2.1400 2.9003
5.5074 -1.1621 3.9204
Pb La Dy
1 2 1
direct
0.5000 0.5000 0.5000
0.0000 0.0000 0.7298
0.0000 0.0000 0.2702
0.5000 0.5000 0.0000
```



No. 12
Below is crystalline La4DyPb5 at its relaxed geometry, with properties calculated at the PBE level.

Summary:
Fermi-level density of states	9.52	states/eV/f.u.
E_form	-53.41	kJ/mol of atoms

Cell and atoms, written as POSCAR:
```
La4DyPb5
1.0
-3.5396 0.6287 -0.6782
-0.8985 -1.7028 3.1108
1.3817 20.0421 11.3700
La Dy Pb
4 1 5
direct
0.0000 0.0000 0.1959
0.0000 0.0000 0.3980
0.0000 0.0000 0.6020
0.0000 0.0000 0.8041
0.0000 0.0000 0.0000
0.5000 0.5000 0.0933
0.5000 0.5000 0.2969
0.5000 0.5000 0.5000
0.5000 0.5000 0.7031
0.5000 0.5000 0.9067
```